# Pm3Y4Er5 PBE-GGA relaxed
# ΔE to the lowest computed polymorph = 20.4 kJ per mole of atoms
# density = 6.88 g/cm³
# energy relative to the elements = 0.23 eV per atom
# E_tot = -60.13 eV/f.u.
data_Pm3Y4Er5
_chemical_formula_sum 'Pm3 Y4 Er5'
_space_group_name_H-M_alt 'P 1'
_space_group_IT_number 1
_space_group_name_Hall 'P 1'
_cell_length_a 8.502
_cell_length_b 8.502
_cell_length_c 9.292
_cell_angle_alpha 114.57
_cell_angle_beta 114.57
_cell_angle_gamma 40.71
loop_
_atom_site_label
_atom_site_type_symbol
_atom_site_fract_x
_atom_site_fract_y
_atom_site_fract_z
Pm1 Pm 0.000 0.000 0.000
Pm2 Pm 0.291 0.291 0.766
Pm3 Pm 0.709 0.709 0.234
Y1 Y 0.291 0.291 0.122
Y2 Y 0.419 0.419 0.560
Y3 Y 0.581 0.581 0.440
Y4 Y 0.709 0.709 0.878
Er1 Er 0.073 0.073 0.697
Er2 Er 0.172 0.172 0.386
Er3 Er 0.500 0.500 0.000
Er4 Er 0.828 0.828 0.614
Er5 Er 0.927 0.927 0.303